A geometry-optimized SrY3Ir structure. Source: the Alexandria database, functional PBE-GGA.

The value obtained for the formation enthalpy at 0 K is -0.352 eV per atom. For the excess energy over the best structure of this formula in the dataset, the calculation gives 18 meV/atom.

The structure belongs to space group P-1 (No. 2); the cell edges are 3.8220, 8.9255 and 9.8293 Å and the angles 101.63°, 101.01° and 90.09°. The inequivalent atoms are Sr at (0.0071, 0.2102, 0.0233), Y at (0.2113, 0.3389, 0.4206), Y at (0.3270, 0.0182, 0.6559), Y at (0.3914, 0.4207, 0.7851) and Ir at (0.2005, 0.7612, 0.3999).